Compound: LiAc2RuO5
Source: Alexandria via LeMat-Bulk
Functional: PBE
Structure: relaxed

```
LiAc2RuO5
1.0
5.863 0.000 0.000
0.000 7.241 0.000
0.000 0.000 7.241
O Ru Ac Li
10 2 4 2
direct
0.242 0.631 0.869
0.758 0.631 0.869
0.500 0.000 0.000
0.500 0.500 0.500
0.758 0.131 0.631
0.758 0.869 0.369
0.242 0.869 0.369
0.758 0.369 0.131
0.242 0.369 0.131
0.242 0.131 0.631
0.000 0.500 0.000
0.000 0.000 0.500
0.500 0.320 0.820
0.500 0.180 0.320
0.500 0.680 0.180
0.500 0.820 0.680
0.000 0.500 0.500
0.000 0.000 0.000
```

## Properties
formation energy from raw total energies = -2.19 eV per atom
SG = P4/mbm, No. 127

Compound: AcScAl2
Source: Alexandria via LeMat-Bulk
Functional: PBE
Structure: relaxed

```
AcScAl2
1.0
5.221 0.000 0.000
2.610 4.521 0.000
2.610 1.507 4.263
Al Ac Sc
2 1 1
direct
0.250 0.250 0.250
0.750 0.750 0.750
0.000 0.000 0.000
0.500 0.500 0.500
```

## Properties
ΔH_f (0 K) = -223 meV per atom
energy above the most stable polymorph in this dataset = 0.079 eV per atom
SG = Fm-3m, No. 225

Compound: K2UF5
Source: Alexandria via LeMat-Bulk
Functional: PBE
Structure: relaxed

```
K2UF5
1.0
-3.538 -5.593 -1.397
4.069 -0.951 -6.500
7.470 -6.118 5.571
F U K
20 4 8
direct
0.860 0.250 0.171
0.144 0.530 0.086
0.171 0.250 0.802
0.360 0.750 0.329
0.671 0.750 0.698
0.595 0.750 0.990
0.405 0.250 0.010
0.905 0.750 0.490
0.640 0.250 0.671
0.095 0.250 0.510
0.329 0.250 0.302
0.356 0.530 0.586
0.644 0.030 0.414
0.644 0.470 0.414
0.829 0.750 0.198
0.144 0.970 0.086
0.856 0.470 0.914
0.856 0.030 0.914
0.140 0.750 0.829
0.356 0.970 0.586
0.440 0.250 0.499
0.060 0.250 0.999
0.560 0.750 0.501
0.940 0.750 0.001
0.524 0.002 0.172
0.024 0.998 0.328
0.476 0.502 0.828
0.976 0.002 0.672
0.524 0.498 0.172
0.976 0.498 0.672
0.024 0.502 0.328
0.476 0.998 0.828
```

## Properties
energy above the most stable polymorph in this dataset = 0.000 eV per atom
formation energy from raw total energies = -3.11 eV per atom
SG = Pnma, No. 62

What did the second record say?
Compound: AcScAl2
Source: Alexandria via LeMat-Bulk
Functional: PBE
Structure: relaxed

```
AcScAl2
1.0
5.221 0.000 0.000
2.610 4.521 0.000
2.610 1.507 4.263
Al Ac Sc
2 1 1
direct
0.250 0.250 0.250
0.750 0.750 0.750
0.000 0.000 0.000
0.500 0.500 0.500
```

## Properties
ΔH_f (0 K) = -223 meV per atom
energy above the most stable polymorph in this dataset = 0.079 eV per atom
SG = Fm-3m, No. 225